Record 1
{
  "formula": "NdSm3Y5",
  "functional": "PBE-GGA",
  "state": "relaxed",
  "cell": [[7.092, 0.000, 0.000], [0.000, 9.848, 0.000], [0.000, -4.924, 8.528]],
  "species": ["Y", "Y", "Y", "Y", "Y", "Y", "Y", "Y", "Y", "Y", "Sm", "Sm", "Sm", "Sm", "Sm", "Sm", "Nd", "Nd"],
  "frac_coords": [[0.750, 0.319, 0.319], [0.500, 0.667, 0.333], [0.500, 0.333, 0.667], [0.750, 0.681, 0.000], [0.250, 0.681, 0.681], [0.750, 0.000, 0.681], [0.250, 0.000, 0.319], [0.000, 0.667, 0.333], [0.250, 0.319, 0.000], [0.000, 0.333, 0.667], [0.750, 0.649, 0.649], [0.750, 0.000, 0.351], [0.750, 0.351, 0.000], [0.250, 0.000, 0.649], [0.250, 0.649, 0.000], [0.250, 0.351, 0.351], [0.500, 0.000, 0.000], [0.000, 0.000, 0.000]]
}

***

Record 2
{
  "formula": "Nd3Sm2Y8",
  "functional": "PBE-GGA",
  "state": "relaxed",
  "cell": [[-1.737, -5.959, 0.567], [7.006, -1.460, 6.335], [-9.274, 1.776, 1.388]],
  "species": ["Y", "Y", "Y", "Y", "Y", "Y", "Y", "Y", "Sm", "Sm", "Nd", "Nd", "Nd"],
  "frac_coords": [[0.270, 0.462, 0.385], [0.347, 0.307, 0.922], [0.730, 0.538, 0.615], [0.962, 0.078, 0.232], [0.653, 0.693, 0.078], [0.885, 0.230, 0.692], [0.038, 0.922, 0.768], [0.115, 0.770, 0.308], [0.577, 0.847, 0.539], [0.423, 0.153, 0.461], [0.500, 0.000, 0.000], [0.807, 0.386, 0.154], [0.193, 0.614, 0.846]]
}

***

Number 1: formation energy 0.059 eV/atom. Number 2: formation energy 0.017 eV/atom.